Compound: Tb4Dy8Er
Source: Alexandria via LeMat-Bulk
Functional: PBE
Structure: optimized geometry

## Properties
Symmetry: No. 166
E, eV per atom: -4.392
Theoretical density, g/cm3: 8.4

Cell and atoms, written as extended XYZ:
```
13
Lattice="3.623 2.092 9.121 -3.623 2.092 9.121 0.000 -4.183 9.121" Properties=species:S:1:pos:R:3 pbc="T T T"
Tb 0.000 0.000 0.000
Tb -1.811 -1.046 9.121
Tb -1.811 1.046 18.242
Tb 0.000 2.092 9.121
Dy -2.001 -1.155 15.496
Dy 0.000 0.000 5.884
Dy 0.000 -2.310 11.867
Dy -2.001 1.155 11.867
Dy 2.001 -1.155 15.496
Dy 0.000 2.310 15.496
Dy 0.000 0.000 21.478
Dy 2.001 1.155 11.867
Er 0.000 0.000 13.681
```

***

Compound: Tb15DyEr4
Source: Alexandria via LeMat-Bulk
Functional: PBE
Structure: optimized geometry

## Properties
Symmetry: No. 123
E, eV per atom: -4.598
Theoretical density, g/cm3: 8.5

Cell and atoms, written as extended XYZ:
```
20
Lattice="5.010 0.000 0.000 0.000 5.010 0.000 0.000 0.000 25.036" Properties=species:S:1:pos:R:3 pbc="T T T"
Tb 0.000 0.000 0.000
Tb 0.000 0.000 5.015
Tb 0.000 0.000 10.016
Tb 0.000 0.000 15.020
Tb 0.000 0.000 20.022
Tb 0.000 2.505 2.512
Tb 0.000 2.505 7.514
Tb 0.000 2.505 12.518
Tb 0.000 2.505 17.522
Tb 0.000 2.505 22.525
Tb 2.505 0.000 2.512
Tb 2.505 0.000 7.514
Tb 2.505 0.000 12.518
Tb 2.505 0.000 17.522
Tb 2.505 0.000 22.525
Dy 2.505 2.505 0.000
Er 2.505 2.505 5.013
Er 2.505 2.505 10.016
Er 2.505 2.505 15.020
Er 2.505 2.505 20.023
```

***

Compound: Tb2Dy2Er7
Source: Alexandria via LeMat-Bulk
Functional: PBE
Structure: optimized geometry

## Properties
Symmetry: No. 12
E, eV per atom: -4.421
Theoretical density, g/cm3: 8.7

Cell and atoms, written as extended XYZ:
```
11
Lattice="5.521 -5.711 0.000 5.521 5.711 0.000 -2.384 0.000 5.488" Properties=species:S:1:pos:R:3 pbc="T T T"
Tb 5.521 3.265 0.000
Tb 5.521 -3.265 0.000
Dy 2.854 0.000 3.811
Dy 5.805 0.000 1.677
Er -1.192 0.000 2.744
Er 2.832 3.004 1.779
Er 2.361 0.000 0.452
Er 5.826 3.004 3.710
Er 2.832 -3.004 1.779
Er 6.297 0.000 5.036
Er 5.826 -3.004 3.710
```

***

Compound: Tb2Dy2Er7
Source: Alexandria via LeMat-Bulk
Functional: PBE
Structure: optimized geometry

## Properties
Symmetry: No. 12
E, eV per atom: -4.465
Theoretical density, g/cm3: 8.7

Cell and atoms, written as extended XYZ:
```
11
Lattice="4.410 -4.656 0.000 4.410 4.656 0.000 -1.676 0.000 8.423" Properties=species:S:1:pos:R:3 pbc="T T T"
Tb 4.410 3.009 0.000
Tb 4.410 -3.009 0.000
Dy 0.323 0.000 3.004
Dy 6.821 0.000 5.419
Er 0.906 1.696 5.977
Er 2.932 0.000 0.789
Er 0.906 -1.696 5.977
Er 3.572 0.000 4.211
Er 6.238 1.696 2.446
Er 4.212 0.000 7.634
Er 6.238 -1.696 2.446
```

***

Compound: TbDyEr2
Source: Alexandria via LeMat-Bulk
Functional: PBE
Structure: optimized geometry

## Properties
Symmetry: No. 225
E, eV per atom: -4.450
Theoretical density, g/cm3: 8.7

Cell and atoms, written as extended XYZ:
```
16
Lattice="7.949 0.000 0.000 0.000 7.949 0.000 0.000 0.000 7.949" Properties=species:S:1:pos:R:3 pbc="T T T"
Tb 0.000 0.000 0.000
Tb 0.000 3.975 3.975
Tb 3.975 0.000 3.975
Tb 3.975 3.975 0.000
Dy 0.000 0.000 3.975
Dy 0.000 3.975 0.000
Dy 3.975 0.000 0.000
Dy 3.975 3.975 3.975
Er 1.987 1.987 1.987
Er 1.987 1.987 5.962
Er 1.987 5.962 1.987
Er 1.987 5.962 5.962
Er 5.962 1.987 1.987
Er 5.962 1.987 5.962
Er 5.962 5.962 1.987
Er 5.962 5.962 5.962
```

***

Compound: Tb5Dy2Er6
Source: Alexandria via LeMat-Bulk
Functional: PBE
Structure: optimized geometry

## Properties
Symmetry: No. 55
E, eV per atom: -4.497
Theoretical density, g/cm3: 8.6

Cell and atoms, written as extended XYZ:
```
26
Lattice="11.525 0.000 0.000 0.000 20.105 0.000 0.000 0.000 3.542" Properties=species:S:1:pos:R:3 pbc="T T T"
Tb 0.000 0.000 0.000
Tb 1.008 5.489 0.000
Tb 2.292 11.053 0.000
Tb 3.470 1.001 0.000
Tb 4.755 15.542 0.000
Tb 5.762 10.053 0.000
Tb 6.770 4.564 0.000
Tb 8.055 19.105 0.000
Tb 9.233 9.052 0.000
Tb 10.517 14.616 0.000
Dy 1.947 14.277 1.771
Dy 3.815 4.224 1.771
Dy 7.709 15.881 1.771
Dy 9.578 5.828 1.771
Er 0.684 8.423 1.771
Er 0.943 2.637 1.771
Er 2.009 17.376 0.000
Er 3.753 7.323 0.000
Er 4.820 12.690 1.771
Er 5.079 18.476 1.771
Er 6.446 1.629 1.771
Er 6.705 7.416 1.771
Er 7.772 12.782 0.000
Er 9.516 2.730 0.000
Er 10.582 17.468 1.771
Er 10.841 11.682 1.771
```

***

Compound: Tb3Dy4Er8
Source: Alexandria via LeMat-Bulk
Functional: PBE
Structure: optimized geometry

## Properties
Symmetry: No. 166
E, eV per atom: -4.443
Theoretical density, g/cm3: 8.6

Cell and atoms, written as extended XYZ:
```
15
Lattice="3.432 1.982 11.628 -3.432 1.982 11.628 0.000 -3.963 11.628" Properties=species:S:1:pos:R:3 pbc="T T T"
Tb -1.716 -0.991 11.628
Tb -1.716 0.991 23.257
Tb 0.000 1.982 11.628
Dy 0.000 0.000 0.000
Dy 0.000 0.000 5.706
Dy 0.000 0.000 17.442
Dy 0.000 0.000 29.179
Er 0.000 -1.973 14.529
Er -1.709 0.987 14.529
Er -1.709 -0.987 20.356
Er 0.000 0.000 8.883
Er 0.000 0.000 26.002
Er 1.709 0.987 14.529
Er 1.709 -0.987 20.356
Er 0.000 1.973 20.356
```

***

Compound: Tb2DyEr7
Source: Alexandria via LeMat-Bulk
Functional: PBE
Structure: optimized geometry

## Properties
Symmetry: No. 2
E, eV per atom: -4.559
Theoretical density, g/cm3: 9.0

Cell and atoms, written as extended XYZ:
```
10
Lattice="6.075 0.000 0.000 2.019 6.740 0.000 2.031 1.210 7.478" Properties=species:S:1:pos:R:3 pbc="T T T"
Tb 2.025 2.143 0.752
Tb 8.100 5.807 6.726
Dy 1.015 0.605 3.739
Er 2.025 3.975 3.739
Er 3.035 5.512 0.749
Er 4.052 1.522 5.231
Er 5.063 4.891 5.233
Er 5.062 3.059 2.245
Er 6.073 6.428 2.247
Er 7.090 2.438 6.729
```